Sr2BiTeIr: relaxed, PBE-GGA.

The structure in extended XYZ format:
```
5
Lattice="-2.3615 -5.3826 1.0238 4.8574 -2.5725 -2.3208 2.1300 -0.0715 4.5373" Properties=species:S:1:pos:R:3 pbc="T T T"
Sr 2.4287 -1.2862 -1.1604
Sr -1.1808 -2.6913 0.5119
Ir 0.0000 0.0000 0.0000
Te 2.3129 -4.0133 1.6201
Bi 1.0650 -0.0357 2.2686
```

Properties
- Magnetic moment: 0.00 μB/cell
- Theoretical density: 6.55 g/cm³
- Excess energy over the best structure of this formula in the dataset: 0.000 eV per atom